# Li5Ni2P3O12 (PBE with a Hubbard U, relaxed)
# Magnetic moment   7.84 Bohr magnetons per cell
# Energy above the most stable polymorph in this dataset   4.1 meV per atom
data_Li5Ni2P3O12
_symmetry_space_group_name_H-M 'P -1'
_symmetry_Int_Tables_number 2
_cell_length_a 8.302
_cell_length_b 8.320
_cell_length_c 9.252
_cell_angle_alpha 90.05
_cell_angle_beta 116.47
_cell_angle_gamma 119.92
loop_
_symmetry_equiv_pos_as_xyz
'x,y,z'
'-x,-y,-z'
loop_
_atom_site_label
_atom_site_type_symbol
_atom_site_fract_x
_atom_site_fract_y
_atom_site_fract_z
Li1 Li 0.062 0.334 0.138
Li2 Li 0.086 0.254 0.599
Li3 Li 0.215 0.281 0.902
Li4 Li 0.380 0.071 0.099
Li5 Li 0.387 0.880 0.596
Ni1 Ni 0.289 0.152 0.433
Ni2 Ni 0.304 0.652 0.965
P1 P 0.193 0.748 0.239
P2 P 0.209 0.954 0.754
P3 P 0.489 0.544 0.747
O1 O 0.016 0.151 0.263
O2 O 0.028 0.529 0.194
O3 O 0.097 0.858 0.270
O4 O 0.185 0.975 0.580
O5 O 0.232 0.799 0.090
O6 O 0.309 0.447 0.110
O7 O 0.316 0.839 0.808
O8 O 0.326 0.496 0.808
O9 O 0.355 0.154 0.892
O10 O 0.360 0.383 0.584
O11 O 0.411 0.823 0.402
O12 O 0.428 0.250 0.281